! Rb3CoS PBE relaxed; values from VASP
&SYSTEM
  ibrav = 0, nat = 5, ntyp = 3
/
ATOMIC_SPECIES
Rb 85.47 Rb.upf
Co 58.93 Co.upf
S 32.06 S.upf
CELL_PARAMETERS angstrom
6.3853 0.0000 0.0000
0.0000 6.3853 0.0000
0.0000 0.0000 6.3853
ATOMIC_POSITIONS crystal
Rb 0.0000 0.0000 0.5000
Rb 0.0000 0.5000 0.0000
Rb 0.5000 0.0000 0.0000
Co 0.5000 0.5000 0.5000
S 0.0000 0.0000 0.0000
! Total DFT energy (no corrections) ... -2.738 eV per atom
! Formation energy (no corrections) ... 0.445 eV/f.u.
! Symmetry ... Pm-3m, No. 221

***

! Li8Ge2Au PBE relaxed; values from VASP
&SYSTEM
  ibrav = 0, nat = 11, ntyp = 3
/
ATOMIC_SPECIES
Li 6.94 Li.upf
Ge 72.64 Ge.upf
Au 196.97 Au.upf
CELL_PARAMETERS angstrom
7.2199 -2.0232 0.0000
7.2199 2.0232 0.0000
-1.1603 0.0000 5.9352
ATOMIC_POSITIONS crystal
Li 0.0488 0.0488 0.2446
Li 0.1400 0.1400 0.7077
Li 0.3200 0.3200 0.5717
Li 0.3996 0.3996 0.0453
Li 0.6004 0.6004 0.9547
Li 0.6800 0.6800 0.4283
Li 0.8600 0.8600 0.2923
Li 0.9512 0.9512 0.7554
Ge 0.2251 0.2251 0.1396
Ge 0.7749 0.7749 0.8604
Au 0.5000 0.5000 0.5000
! Formation energy from the elements ... -315 meV/atom
! Total DFT energy (no corrections) ... -2.845 eV per atom
! Excess energy over the best structure of this formula in the dataset ... 23 meV per atom
! Symmetry ... C2/m, No. 12

***

! KRbCd2 PBE relaxed; values from VASP
&SYSTEM
  ibrav = 0, nat = 4, ntyp = 3
/
ATOMIC_SPECIES
K 39.10 K.upf
Rb 85.47 Rb.upf
Cd 112.41 Cd.upf
CELL_PARAMETERS angstrom
0.0000 4.4157 4.4157
4.4157 0.0000 4.4157
4.4157 4.4157 0.0000
ATOMIC_POSITIONS crystal
K 0.0000 0.0000 0.0000
Rb 0.5000 0.5000 0.5000
Cd 0.2500 0.2500 0.2500
Cd 0.7500 0.7500 0.7500
! Formation energy from the elements ... 24 meV/atom
! Total DFT energy (no corrections) ... -0.949 eV per atom
! Excess energy over the best structure of this formula in the dataset ... 84 meV per atom
! Symmetry ... Fm-3m, No. 225

***

! Dy6Y2Ho3Mg PBE relaxed; values from VASP
&SYSTEM
  ibrav = 0, nat = 12, ntyp = 4
/
ATOMIC_SPECIES
Dy 162.50 Dy.upf
Y 88.91 Y.upf
Ho 164.93 Ho.upf
Mg 24.30 Mg.upf
CELL_PARAMETERS angstrom
3.0496 -5.2863 0.0000
3.0496 5.2863 0.0000
-2.0516 0.0000 11.4748
ATOMIC_POSITIONS crystal
Dy 0.0824 0.4149 0.2497
Dy 0.2504 0.2504 0.7491
Dy 0.4149 0.0824 0.2497
Dy 0.5851 0.9176 0.7503
Dy 0.7496 0.7496 0.2509
Dy 0.9176 0.5851 0.7503
Y 0.3338 0.6662 0.0000
Y 0.6662 0.3338 0.0000
Ho 0.1662 0.8338 0.5000
Ho 0.5000 0.5000 0.5000
Ho 0.8338 0.1662 0.5000
Mg 0.0000 0.0000 0.0000
! Formation energy from the elements ... 28 meV/atom
! Total DFT energy (no corrections) ... -4.628 eV per atom
! Symmetry ... C2/m, No. 12

***

! Rb2NaSrCl5 PBE relaxed; values from VASP
&SYSTEM
  ibrav = 0, nat = 18, ntyp = 4
/
ATOMIC_SPECIES
Rb 85.47 Rb.upf
Na 22.99 Na.upf
Sr 87.62 Sr.upf
Cl 35.45 Cl.upf
CELL_PARAMETERS angstrom
2.2369 -9.4157 0.0000
2.2369 9.4157 0.0000
0.0000 0.0000 14.0205
ATOMIC_POSITIONS crystal
Rb 0.1040 0.8960 0.5000
Rb 0.1275 0.8725 0.1083
Rb 0.8725 0.1275 0.6083
Rb 0.8960 0.1040 0.0000
Na 0.4852 0.5148 0.2818
Na 0.5148 0.4852 0.7818
Sr 0.2136 0.7864 0.8240
Sr 0.7864 0.2136 0.3240
Cl 0.0627 0.9373 0.8634
Cl 0.2792 0.7208 0.4621
Cl 0.3011 0.6989 0.1905
Cl 0.3674 0.6326 0.8134
Cl 0.4998 0.5002 0.0943
Cl 0.5002 0.4998 0.5943
Cl 0.6326 0.3674 0.3134
Cl 0.6989 0.3011 0.6905
Cl 0.7208 0.2792 0.9621
Cl 0.9373 0.0627 0.3634
! Total DFT energy (no corrections) ... -3.652 eV per atom
! Formation energy (no corrections) ... -18.701 eV/f.u.
! Symmetry ... Cmc2_1, No. 36

***

! LiYC PBE relaxed; values from VASP
&SYSTEM
  ibrav = 0, nat = 6, ntyp = 3
/
ATOMIC_SPECIES
Li 6.94 Li.upf
Y 88.91 Y.upf
C 12.01 C.upf
CELL_PARAMETERS angstrom
4.2985 0.0000 0.0000
-2.1492 3.7226 0.0000
0.0000 0.0000 5.3108
ATOMIC_POSITIONS crystal
Li 0.0000 0.0000 0.0000
Li 0.0000 0.0000 0.5000
Y 0.3333 0.6667 0.2500
Y 0.6667 0.3333 0.7500
C 0.3333 0.6667 0.7500
C 0.6667 0.3333 0.2500
! Formation energy from the elements ... -7 meV/atom
! Total DFT energy (no corrections) ... -5.874 eV per atom
! Excess energy over the best structure of this formula in the dataset ... 128 meV per atom
! Symmetry ... P6_3/mmc, No. 194

***

! Ba4P PBE relaxed; values from VASP
&SYSTEM
  ibrav = 0, nat = 5, ntyp = 2
/
ATOMIC_SPECIES
Ba 137.33 Ba.upf
P 30.97 P.upf
CELL_PARAMETERS angstrom
-2.2742 2.2742 11.4151
2.2742 -2.2742 11.4151
2.2742 2.2742 -11.4151
ATOMIC_POSITIONS crystal
Ba 0.0733 0.0733 0.0000
Ba 0.2500 0.7500 0.5000
Ba 0.7500 0.2500 0.5000
Ba 0.9267 0.9267 0.0000
P 0.5000 0.5000 0.0000
! Formation energy from the elements ... 130 meV/atom
! Total DFT energy (no corrections) ... -2.490 eV per atom
! Excess energy over the best structure of this formula in the dataset ... 563 meV per atom
! Symmetry ... I4/mmm, No. 139

***

! DyHo2Tm8 PBE relaxed; values from VASP
&SYSTEM
  ibrav = 0, nat = 11, ntyp = 3
/
ATOMIC_SPECIES
Dy 162.50 Dy.upf
Ho 164.93 Ho.upf
Tm 168.93 Tm.upf
CELL_PARAMETERS angstrom
8.9133 -2.4648 0.0000
8.9133 2.4648 0.0000
-2.0559 0.0000 7.5380
ATOMIC_POSITIONS crystal
Dy 0.0000 0.0000 0.0000
Ho 0.2726 0.2726 0.3634
Ho 0.7274 0.7274 0.6366
Tm 0.0907 0.0907 0.4550
Tm 0.1818 0.1818 0.9087
Tm 0.3636 0.3636 0.8184
Tm 0.4547 0.4547 0.2729
Tm 0.5453 0.5453 0.7271
Tm 0.6364 0.6364 0.1816
Tm 0.8182 0.8182 0.0913
Tm 0.9093 0.9093 0.5450
! Formation energy from the elements ... 25 meV/atom
! Total DFT energy (no corrections) ... -4.478 eV per atom
! Excess energy over the best structure of this formula in the dataset ... 0 meV per atom
! Symmetry ... C2/m, No. 12

***

! Ca2CrReN4 PBE relaxed; values from VASP
&SYSTEM
  ibrav = 0, nat = 16, ntyp = 4
/
ATOMIC_SPECIES
Ca 40.08 Ca.upf
Cr 52.00 Cr.upf
Re 186.21 Re.upf
N 14.01 N.upf
CELL_PARAMETERS angstrom
5.5582 0.0000 0.0000
0.0000 6.8746 0.0000
0.0000 0.0000 5.8132
ATOMIC_POSITIONS crystal
Ca 0.2500 0.9997 0.2388
Ca 0.2500 0.5003 0.2388
Ca 0.7500 0.0003 0.7612
Ca 0.7500 0.4997 0.7612
Cr 0.2500 0.2500 0.7875
Cr 0.7500 0.7500 0.2125
Re 0.2500 0.7500 0.7840
Re 0.7500 0.2500 0.2160
N 0.0040 0.2500 0.9981
N 0.2500 0.0035 0.6481
N 0.2500 0.4965 0.6481
N 0.4960 0.2500 0.9981
N 0.5040 0.7500 0.0019
N 0.7500 0.5035 0.3519
N 0.7500 0.9965 0.3519
N 0.9960 0.7500 0.0019
! Total DFT energy (no corrections) ... -8.077 eV per atom
! Formation energy (no corrections) ... -5.237 eV/f.u.
! Symmetry ... Pmmn, No. 59

***

! LiCa2H6Ru PBE relaxed; values from VASP
&SYSTEM
  ibrav = 0, nat = 10, ntyp = 4
/
ATOMIC_SPECIES
Li 6.94 Li.upf
Ca 40.08 Ca.upf
H 1.01 H.upf
Ru 101.07 Ru.upf
CELL_PARAMETERS angstrom
5.0624 0.0000 0.0000
-2.5312 4.3842 0.0000
0.0000 0.0000 4.9116
ATOMIC_POSITIONS crystal
Li 0.0000 0.0000 0.0000
Ca 0.3333 0.6667 0.7030
Ca 0.6667 0.3333 0.2970
H 0.1608 0.3216 0.2866
H 0.1608 0.8392 0.2866
H 0.3216 0.1608 0.7134
H 0.6784 0.8392 0.2866
H 0.8392 0.1608 0.7134
H 0.8392 0.6784 0.7134
Ru 0.0000 0.0000 0.5000
! Total DFT energy (no corrections) ... -4.014 eV per atom
! Symmetry ... P-3m1, No. 164

***

! Cs3Na2Cd7 PBE relaxed; values from VASP
&SYSTEM
  ibrav = 0, nat = 12, ntyp = 3
/
ATOMIC_SPECIES
Cs 132.91 Cs.upf
Na 22.99 Na.upf
Cd 112.41 Cd.upf
CELL_PARAMETERS angstrom
3.4407 1.9865 10.5464
-3.4407 1.9865 10.5464
0.0000 -3.9729 10.5464
ATOMIC_POSITIONS crystal
Cs 0.0000 0.0000 0.0000
Cs 0.1457 0.1457 0.1457
Cs 0.8543 0.8543 0.8543
Na 0.3271 0.3271 0.3271
Na 0.6729 0.6729 0.6729
Cd 0.1099 0.5691 0.5691
Cd 0.4309 0.4309 0.8901
Cd 0.4309 0.8901 0.4309
Cd 0.5000 0.5000 0.5000
Cd 0.5691 0.1099 0.5691
Cd 0.5691 0.5691 0.1099
Cd 0.8901 0.4309 0.4309
! Formation energy from the elements ... -42 meV/atom
! Total DFT energy (no corrections) ... -1.009 eV per atom
! Symmetry ... R-3m, No. 166

***

! Ta2NbS PBE relaxed; values from VASP
&SYSTEM
  ibrav = 0, nat = 4, ntyp = 3
/
ATOMIC_SPECIES
Ta 180.95 Ta.upf
Nb 92.91 Nb.upf
S 32.06 S.upf
CELL_PARAMETERS angstrom
3.2582 0.0000 0.0000
-0.0099 4.8015 0.0000
-1.5960 -2.3360 4.8053
ATOMIC_POSITIONS crystal
Ta 0.2420 0.2415 0.4833
Ta 0.7580 0.7585 0.5167
Nb 0.0000 0.5000 0.0000
S 0.0000 0.0000 0.0000
! Total DFT energy (no corrections) ... -9.494 eV per atom
! Formation energy (no corrections) ... -0.072 eV/f.u.
! Symmetry ... P-1, No. 2

***

! La4ZnBr2Cl PBE relaxed; values from VASP
&SYSTEM
  ibrav = 0, nat = 8, ntyp = 4
/
ATOMIC_SPECIES
La 138.91 La.upf
Zn 65.41 Zn.upf
Br 79.90 Br.upf
Cl 35.45 Cl.upf
CELL_PARAMETERS angstrom
7.1192 0.0000 0.0000
0.0000 4.1448 0.0000
-2.5130 0.0000 7.7918
ATOMIC_POSITIONS crystal
La 0.2338 0.0000 0.2240
La 0.2447 0.5000 0.7700
La 0.7553 0.5000 0.2300
La 0.7662 0.0000 0.7760
Zn 0.5000 0.0000 0.0000
Br 0.0000 0.0000 0.5000
Br 0.5000 0.5000 0.5000
Cl 0.0000 0.5000 0.0000
! Total DFT energy (no corrections) ... -4.379 eV per atom
! Formation energy (no corrections) ... -8.859 eV/f.u.
! Symmetry ... P2/m, No. 10

***

! Ga3BiN PBE relaxed; values from VASP
&SYSTEM
  ibrav = 0, nat = 5, ntyp = 3
/
ATOMIC_SPECIES
Ga 69.72 Ga.upf
Bi 208.98 Bi.upf
N 14.01 N.upf
CELL_PARAMETERS angstrom
4.5341 0.0000 0.0000
0.0000 4.5341 0.0000
0.0000 0.0000 4.5341
ATOMIC_POSITIONS crystal
Ga 0.0000 0.0000 0.5000
Ga 0.0000 0.5000 0.0000
Ga 0.5000 0.0000 0.0000
Bi 0.5000 0.5000 0.5000
N 0.0000 0.0000 0.0000
! Total DFT energy (no corrections) ... -3.906 eV per atom
! Formation energy (no corrections) ... 1.758 eV/f.u.
! Excess energy over the best structure of this formula in the dataset ... 0 meV per atom
! Symmetry ... Pm-3m, No. 221

***

! Sm3Zn2Cd9 PBE relaxed; values from VASP
&SYSTEM
  ibrav = 0, nat = 14, ntyp = 3
/
ATOMIC_SPECIES
Sm 150.36 Sm.upf
Zn 65.41 Zn.upf
Cd 112.41 Cd.upf
CELL_PARAMETERS angstrom
-2.3925 5.3588 6.3902
2.3925 -5.3588 6.3902
2.3925 5.3588 -6.3902
ATOMIC_POSITIONS crystal
Sm 0.0000 0.0000 0.0000
Sm 0.2953 0.2953 0.0000
Sm 0.7047 0.7047 0.0000
Zn 0.3353 0.5000 0.8353
Zn 0.6647 0.5000 0.1647
Cd 0.0052 0.6373 0.3679
Cd 0.1368 0.8575 0.2793
Cd 0.2694 0.6373 0.6321
Cd 0.4218 0.1425 0.2793
Cd 0.5000 0.0000 0.5000
Cd 0.5782 0.8575 0.7207
Cd 0.7306 0.3627 0.3679
Cd 0.8632 0.1425 0.7207
Cd 0.9948 0.3627 0.6321
! Formation energy from the elements ... -232 meV/atom
! Total DFT energy (no corrections) ... -2.014 eV per atom
! Symmetry ... Immm, No. 71